No. 1
LiMgTa2 | PBEsol | relaxed

Cell: 2.744 2.744 9.106 Å, 90.00 90.00 90.00°
Sites, in units of the cell vectors:
Li 0.000 0.000 0.000
Mg 0.000 0.000 0.500
Ta 0.500 0.500 0.235
Ta 0.500 0.500 0.765

formation energy from the elements	518.5	meV per atom
space group	P4/mmm, No. 123

---

No. 2
Sr2AgHg | PBEsol | relaxed

Cell: 4.817 6.320 6.320 Å, 40.32 90.00 90.00°
Sites, in units of the cell vectors:
Sr 0.000 0.000 0.000
Sr 0.500 0.282 0.282
Ag 0.500 0.570 0.570
Hg 0.000 0.713 0.713

formation energy from the elements	-411.2	meV per atom
space group	Amm2, No. 38

---

No. 3
LaBe2P | PBEsol | relaxed

Cell: 3.248 3.248 6.282 Å, 90.00 90.00 99.36°
Sites, in units of the cell vectors:
La 0.000 0.000 0.000
Be 0.000 0.000 0.514
Be 0.500 0.500 0.347
P 0.500 0.500 0.681

formation energy from the elements	-39.6	meV per atom
space group	Cmm2, No. 35

---

No. 4
CoSiPS2 | PBEsol | relaxed

Cell: 4.396 4.396 4.433 Å, 90.00 90.00 90.00°
Sites, in units of the cell vectors:
Co 0.000 0.000 0.000
Si 0.500 0.500 0.500
P 0.500 0.500 0.000
S 0.000 0.500 0.500
S 0.500 0.000 0.500

space group	P4/mmm, No. 123
formation energy without anion corrections	0.811	eV per atom